1.
Material: GePbBr5
Method: DFT, GGA-PBE
State: optimized geometry

Geometry as POSCAR:
```
GePbBr5
1.0
7.442 0.069 0.054
2.426 7.036 0.054
3.607 2.597 9.605
Ge Pb Br
2 2 10
direct
0.000 0.000 0.000
0.000 0.000 0.500
0.575 0.425 0.250
0.425 0.575 0.750
0.794 0.734 0.120
0.283 0.672 0.482
0.734 0.794 0.620
0.940 0.060 0.250
0.328 0.717 0.018
0.672 0.283 0.982
0.060 0.940 0.750
0.266 0.206 0.380
0.717 0.328 0.518
0.206 0.266 0.880
```

## Properties
Space group ... C2/c

2.
Material: AcDyPaS6
Method: DFT, GGA-PBE
State: optimized geometry

Geometry as POSCAR:
```
AcDyPaS6
1.0
-0.842 -3.562 -4.641
0.371 -5.626 4.250
-6.229 3.085 -1.237
Ac Dy Pa S
1 1 1 6
direct
0.500 0.667 0.333
0.500 0.000 0.000
0.000 0.333 0.667
0.756 0.662 0.694
0.756 0.306 0.968
0.756 0.032 0.338
0.244 0.306 0.338
0.244 0.662 0.968
0.244 0.032 0.694
```

## Properties
Space group ... P312

Calculated values (eV per atom) of electronic total energy for the records, taken in order: -2.95 -6.33.
Calculated values (kJ per mole of atoms) of E_form (uncorrected) for the records, taken in order: -54.5 -149.8.